(1)
# CuAgBr2, relaxed, DFT PBE-GGA
data_CuAgBr2
_chemical_formula_sum 'Cu4 Ag4 Br8'
_symmetry_space_group_name_H-M 'F m -3 m'
_symmetry_Int_Tables_number 225
_symmetry_space_group_name_Hall '-F 4 2 3'
_cell_length_a 7.001
_cell_length_b 7.001
_cell_length_c 7.001
_cell_angle_alpha 90.00
_cell_angle_beta 90.00
_cell_angle_gamma 90.00
loop_
_atom_site_label
_atom_site_type_symbol
_atom_site_fract_x
_atom_site_fract_y
_atom_site_fract_z
Cu1 Cu 0.000 0.000 0.000
Ag1 Ag 0.000 0.000 0.500
Br1 Br 0.250 0.250 0.250
# formation energy from raw total energies = 99 meV/atom
# E above lowest polymorph = 385 meV/atom

---

(2)
# Cu2AgBr, relaxed, DFT PBE-GGA
data_Cu2AgBr
_chemical_formula_sum 'Cu2 Ag1 Br1'
_symmetry_space_group_name_H-M 'P 4/m m m'
_symmetry_Int_Tables_number 123
_symmetry_space_group_name_Hall '-P 4 2'
_cell_length_a 3.379
_cell_length_b 3.379
_cell_length_c 6.140
_cell_angle_alpha 90.00
_cell_angle_beta 90.00
_cell_angle_gamma 90.00
loop_
_atom_site_label
_atom_site_type_symbol
_atom_site_fract_x
_atom_site_fract_y
_atom_site_fract_z
Cu1 Cu 0.000 0.000 0.206
Ag1 Ag 0.500 0.500 0.000
Br1 Br 0.500 0.500 0.500
# formation energy from raw total energies = 208 meV/atom
# E above lowest polymorph = 107 meV/atom

---

(3)
# CuAgBr2, relaxed, DFT PBE-GGA
data_CuAgBr2
_chemical_formula_sum 'Cu2 Ag2 Br4'
_symmetry_space_group_name_H-M 'C 1 2/m 1'
_symmetry_Int_Tables_number 12
_cell_length_a 7.332
_cell_length_b 3.778
_cell_length_c 7.048
_cell_angle_alpha 90.00
_cell_angle_beta 108.92
_cell_angle_gamma 90.00
loop_
_symmetry_equiv_pos_as_xyz
'x,y,z'
'-x,-y,-z'
'-x,y,-z'
'x,-y,z'
'x+1/2,y+1/2,z'
'-x+1/2,-y+1/2,-z'
'-x+1/2,y+1/2,-z'
'x+1/2,-y+1/2,z'
loop_
_atom_site_label
_atom_site_type_symbol
_atom_site_fract_x
_atom_site_fract_y
_atom_site_fract_z
Cu1 Cu 0.000 0.000 0.000
Ag1 Ag 0.000 0.500 0.500
Br1 Br 0.193 0.500 0.228
# formation energy from raw total energies = -182 meV/atom
# E above lowest polymorph = 103 meV/atom

---

(4)
# CuAg2Br4, relaxed, DFT PBE-GGA
data_CuAg2Br4
_chemical_formula_sum 'Cu1 Ag2 Br4'
_symmetry_space_group_name_H-M 'P -4 2 m'
_symmetry_Int_Tables_number 111
_cell_length_a 6.847
_cell_length_b 6.847
_cell_length_c 5.344
_cell_angle_alpha 90.00
_cell_angle_beta 90.00
_cell_angle_gamma 90.00
loop_
_symmetry_equiv_pos_as_xyz
'x,y,z'
'y,-x,-z'
'-x,-y,z'
'-y,x,-z'
'x,-y,-z'
'y,x,z'
'-x,y,-z'
'-y,-x,z'
loop_
_atom_site_label
_atom_site_type_symbol
_atom_site_fract_x
_atom_site_fract_y
_atom_site_fract_z
Cu1 Cu 0.000 0.000 0.000
Ag1 Ag 0.000 0.500 0.000
Br1 Br 0.220 0.220 0.225
# formation energy from raw total energies = -261 meV/atom
# E above lowest polymorph = 43 meV/atom

---

(5)
# CuAgBr2, relaxed, DFT PBE-GGA
data_CuAgBr2
_chemical_formula_sum 'Cu1 Ag1 Br2'
_symmetry_space_group_name_H-M 'P 4/m m m'
_symmetry_Int_Tables_number 123
_symmetry_space_group_name_Hall '-P 4 2'
_cell_length_a 4.955
_cell_length_b 4.955
_cell_length_c 3.504
_cell_angle_alpha 90.00
_cell_angle_beta 90.00
_cell_angle_gamma 90.00
loop_
_atom_site_label
_atom_site_type_symbol
_atom_site_fract_x
_atom_site_fract_y
_atom_site_fract_z
Cu1 Cu 0.000 0.000 0.000
Ag1 Ag 0.500 0.500 0.000
Br1 Br 0.000 0.500 0.500
# formation energy from raw total energies = 99 meV/atom
# E above lowest polymorph = 385 meV/atom

---

(6)
# CuAgBr2, relaxed, DFT PBE-GGA
data_CuAgBr2
_chemical_formula_sum 'Cu2 Ag2 Br4'
_symmetry_space_group_name_H-M 'C m m m'
_symmetry_Int_Tables_number 65
_symmetry_space_group_name_Hall '-C 2 2'
_cell_length_a 3.715
_cell_length_b 7.817
_cell_length_c 7.663
_cell_angle_alpha 90.00
_cell_angle_beta 90.00
_cell_angle_gamma 90.00
loop_
_atom_site_label
_atom_site_type_symbol
_atom_site_fract_x
_atom_site_fract_y
_atom_site_fract_z
Cu1 Cu 0.000 0.000 0.000
Ag1 Ag 0.000 0.000 0.500
Br1 Br 0.000 0.500 0.227
# formation energy from raw total energies = -106 meV/atom
# E above lowest polymorph = 179 meV/atom